Material: BaSrOsPt2
Method: DFT, PBE-GGA
State: relaxed

a = 5.232 Å, b = 5.232 Å, c = 6.265 Å
α = 90.00°, β = 90.00°, γ = 90.00°
Element x y z (fractional)
1 Ba 0.000 0.000 0.000
2 Sr 0.000 0.000 0.500
3 Os 0.500 0.500 0.000
4 Pt 0.000 0.500 0.500
5 Pt 0.500 0.000 0.500

Computed properties:
**Total DFT energy (no corrections)**: -0.263 Ry/atom
**Total magnetic moment**: 2.90 μB/f.u.
**SG**: No. 123